(1)
Mg2MnNb, optimized geometry, DFT PBE; size of the total moment = 0.005 μB/atom; ΔH_f (0 K) = 0.88 eV/atom; space group = No. 122; offset from the most stable computed form = 140 meV per atom
1.0
-7.1402 1.8600 -1.0755
0.5668 -1.9696 -7.1693
-4.0004 -2.4470 -3.5216
Nb Mn Mg
2 2 4
direct
0.0000 0.0000 0.0000
0.7500 0.2500 0.5000
0.5000 0.5000 0.0000
0.2500 0.7500 0.5000
0.5899 0.1250 0.2500
0.1601 0.6250 0.2500
0.3750 0.4101 0.7500
0.8750 0.8399 0.7500



(2)
Pa2Tl3InSe6, optimized geometry, DFT PBE; size of the total moment = 0.168 μB/atom; space group = No. 12; E_form (uncorrected) = -0.879 eV/atom
1.0
4.2228 0.0000 0.0000
0.0000 9.3047 0.2213
-2.1114 -2.8055 9.4318
Pa Tl In Se
2 3 1 6
direct
0.8294 0.6630 0.6589
0.1706 0.3370 0.3411
0.5000 0.5000 0.0000
0.8448 0.1632 0.6896
0.1552 0.8368 0.3104
0.5000 0.0000 0.0000
0.3255 0.8709 0.6511
0.6758 0.5565 0.3517
0.6745 0.1291 0.3489
0.0278 0.2592 0.0556
0.9722 0.7408 0.9444
0.3242 0.4435 0.6483